The following is a PBEsol calculation of NbIn2IBr after structural relaxation, from Alexandria.

Cell and atoms, written as POSCAR:
```
NbIn2IBr
1.0
4.887 0.000 0.000
0.000 5.634 0.000
0.000 0.000 5.634
In Br I Nb
2 1 1 1
Cartesian
0.000 2.817 0.000
0.000 0.000 2.817
2.443 0.000 0.000
2.443 2.817 2.817
0.000 0.000 0.000
```

The total magnetic moment is 1.40 μB per cell. The calculation puts the energy relative to the elements, uncorrected at 0.132 eV per atom. As for the space group: No. 123. As for the density of states at the Fermi level: 4.005 states/eV/f.u.